Version a
An optimized crystal structure of Ba2CrAu, computed with PBE-GGA.

a b c (Å): 8.286 4.769 8.779
angles (deg): 90.00 108.19 90.00
Element x y z (fractional)
Ba 0.241 0.000 0.224
Ba 0.259 0.500 0.776
Ba 0.741 0.500 0.224
Ba 0.759 0.000 0.776
Cr 0.000 0.000 0.500
Cr 0.500 0.500 0.500
Au 0.000 0.500 0.000
Au 0.500 0.000 0.000

Properties
**Space-group type**: C2/m

Version b
An optimized crystal structure of Ba2CrAu, computed with PBE-GGA.

a b c (Å): 4.133 5.438 12.252
angles (deg): 90.00 90.00 90.00
Element x y z (fractional)
Ba 0.000 0.000 0.000
Ba 0.000 0.500 0.206
Ba 0.500 0.000 0.706
Ba 0.500 0.500 0.500
Cr 0.000 0.500 0.803
Cr 0.500 0.000 0.303
Au 0.000 0.000 0.449
Au 0.500 0.500 0.949

Properties
**Space-group type**: Imm2

version b has the most favorable energy; the next structure is 8.7 kJ/mol of atoms above.

Version a
An optimized crystal structure of Ba2CrAu, computed with PBE-GGA.

a b c (Å): 4.756 4.756 25.253
angles (deg): 90.00 90.00 120.00
Element x y z (fractional)
Ba 0.000 0.000 0.000
Ba 0.000 0.000 0.174
Ba 0.333 0.667 0.667
Ba 0.333 0.667 0.841
Ba 0.667 0.333 0.333
Ba 0.667 0.333 0.508
Cr 0.000 0.000 0.754
Cr 0.333 0.667 0.421
Cr 0.667 0.333 0.087
Au 0.000 0.000 0.420
Au 0.333 0.667 0.087
Au 0.667 0.333 0.754

Properties
**Space-group type**: R3m

Version b
An optimized crystal structure of Ba2CrAu, computed with PBE-GGA.

a b c (Å): 8.194 8.194 8.194
angles (deg): 90.00 90.00 90.00
Element x y z (fractional)
Ba 0.250 0.250 0.250
Ba 0.250 0.250 0.750
Ba 0.250 0.750 0.250
Ba 0.250 0.750 0.750
Ba 0.750 0.250 0.250
Ba 0.750 0.250 0.750
Ba 0.750 0.750 0.250
Ba 0.750 0.750 0.750
Cr 0.000 0.000 0.000
Cr 0.000 0.500 0.500
Cr 0.500 0.000 0.500
Cr 0.500 0.500 0.000
Au 0.000 0.000 0.500
Au 0.000 0.500 0.000
Au 0.500 0.000 0.000
Au 0.500 0.500 0.500

Properties
**Space-group type**: Fm-3m

Version c
An optimized crystal structure of Ba2CrAu, computed with PBE-GGA.

a b c (Å): 7.849 7.849 7.849
angles (deg): 90.00 90.00 90.00
Element x y z (fractional)
Ba 0.000 0.000 0.000
Ba 0.000 0.500 0.500
Ba 0.250 0.250 0.250
Ba 0.250 0.750 0.750
Ba 0.500 0.000 0.500
Ba 0.500 0.500 0.000
Ba 0.750 0.250 0.750
Ba 0.750 0.750 0.250
Cr 0.250 0.250 0.750
Cr 0.250 0.750 0.250
Cr 0.750 0.250 0.250
Cr 0.750 0.750 0.750
Au 0.000 0.000 0.500
Au 0.000 0.500 0.000
Au 0.500 0.000 0.000
Au 0.500 0.500 0.500

Properties
**Space-group type**: F-43m

Version d
An optimized crystal structure of Ba2CrAu, computed with PBE-GGA.

a b c (Å): 9.017 9.017 7.592
angles (deg): 90.00 90.00 90.00
Element x y z (fractional)
Ba 0.228 0.250 0.125
Ba 0.250 0.728 0.375
Ba 0.250 0.772 0.875
Ba 0.272 0.250 0.625
Ba 0.728 0.750 0.625
Ba 0.750 0.228 0.875
Ba 0.750 0.272 0.375
Ba 0.772 0.750 0.125
Cr 0.000 0.000 0.500
Cr 0.000 0.500 0.750
Cr 0.500 0.000 0.250
Cr 0.500 0.500 0.000
Au 0.000 0.000 0.000
Au 0.000 0.500 0.250
Au 0.500 0.000 0.750
Au 0.500 0.500 0.500

Properties
**Space-group type**: I-42d

version a has the most favorable energy; the next structure is 13.3 kJ/mol of atoms above.

Version a
An optimized crystal structure of Ba2CrAu, computed with PBE-GGA.

a b c (Å): 3.915 3.915 9.317
angles (deg): 90.00 90.00 90.00
Element x y z (fractional)
Ba 0.000 0.000 0.000
Ba 0.500 0.500 0.414
Cr 0.000 0.000 0.661
Au 0.500 0.500 0.769

Properties
**Space-group type**: P4mm

Version b
An optimized crystal structure of Ba2CrAu, computed with PBE-GGA.

a b c (Å): 4.767 4.865 12.674
angles (deg): 90.00 90.00 90.00
Element x y z (fractional)
Ba 0.000 0.000 0.000
Ba 0.000 0.500 0.500
Ba 0.500 0.000 0.283
Ba 0.500 0.500 0.783
Cr 0.000 0.000 0.699
Cr 0.000 0.500 0.199
Au 0.500 0.000 0.585
Au 0.500 0.500 0.085

Properties
**Space-group type**: Amm2

Version c
An optimized crystal structure of Ba2CrAu, computed with PBE-GGA.

a b c (Å): 5.765 5.765 4.116
angles (deg): 90.00 90.00 90.00
Element x y z (fractional)
Ba 0.000 0.500 0.000
Ba 0.500 0.000 0.000
Cr 0.000 0.000 0.500
Au 0.500 0.500 0.500

Properties
**Space-group type**: P4/mmm

version b has the most favorable energy; the next structure is 11.4 kJ/mol of atoms above.

Version a
An optimized crystal structure of BaCrAu2, computed with PBE-GGA.

a b c (Å): 4.468 4.468 9.880
angles (deg): 90.00 90.00 90.00
Element x y z (fractional)
Ba 0.000 0.000 0.000
Ba 0.500 0.500 0.500
Cr 0.000 0.500 0.750
Cr 0.500 0.000 0.250
Au 0.000 0.000 0.500
Au 0.000 0.500 0.250
Au 0.500 0.000 0.750
Au 0.500 0.500 0.000

Properties
**Space-group type**: I-4m2

Version b
An optimized crystal structure of BaCrAu2, computed with PBE-GGA.

a b c (Å): 7.480 7.480 7.480
angles (deg): 90.00 90.00 90.00
Element x y z (fractional)
Ba 0.000 0.000 0.000
Ba 0.000 0.500 0.500
Ba 0.500 0.000 0.500
Ba 0.500 0.500 0.000
Cr 0.000 0.000 0.500
Cr 0.000 0.500 0.000
Cr 0.500 0.000 0.000
Cr 0.500 0.500 0.500
Au 0.250 0.250 0.250
Au 0.250 0.250 0.750
Au 0.250 0.750 0.250
Au 0.250 0.750 0.750
Au 0.750 0.250 0.250
Au 0.750 0.250 0.750
Au 0.750 0.750 0.250
Au 0.750 0.750 0.750

Properties
**Space-group type**: Fm-3m

Version c
An optimized crystal structure of BaCrAu2, computed with PBE-GGA.

a b c (Å): 4.433 4.905 5.391
angles (deg): 90.00 90.28 90.00
Element x y z (fractional)
Ba 0.000 0.000 0.000
Cr 0.504 0.500 0.319
Au 0.499 0.000 0.514
Au 0.499 0.500 0.824

Properties
**Space-group type**: Pm

version c has the most favorable energy; the next structure is 10.9 kJ/mol of atoms above.

Version a
An optimized crystal structure of BaCrAu2, computed with PBE-GGA.

a b c (Å): 4.702 4.702 16.895
angles (deg): 90.00 90.00 120.00
Element x y z (fractional)
Ba 0.000 0.000 0.000
Ba 0.333 0.667 0.667
Ba 0.667 0.333 0.333
Cr 0.000 0.000 0.500
Cr 0.333 0.667 0.167
Cr 0.667 0.333 0.833
Au 0.000 0.000 0.202
Au 0.000 0.000 0.798
Au 0.333 0.667 0.465
Au 0.333 0.667 0.869
Au 0.667 0.333 0.131
Au 0.667 0.333 0.535

Properties
**Space-group type**: R-3m

Version b
An optimized crystal structure of BaCrAu2, computed with PBE-GGA.

a b c (Å): 7.268 7.280 3.811
angles (deg): 90.00 90.00 90.00
Element x y z (fractional)
Ba 0.000 0.000 0.000
Ba 0.500 0.500 0.000
Cr 0.000 0.500 0.000
Cr 0.500 0.000 0.000
Au 0.250 0.250 0.500
Au 0.250 0.750 0.500
Au 0.750 0.250 0.500
Au 0.750 0.750 0.500

Properties
**Space-group type**: Cmmm

Version c
An optimized crystal structure of BaCrAu2, computed with PBE-GGA.

a b c (Å): 3.605 3.669 7.330
angles (deg): 90.00 90.07 90.00
Element x y z (fractional)
Ba 0.000 0.000 0.000
Cr 0.000 0.000 0.500
Au 0.500 0.500 0.308
Au 0.500 0.500 0.692

Properties
**Space-group type**: P2/m

Version d
An optimized crystal structure of BaCrAu2, computed with PBE-GGA.

a b c (Å): 8.068 4.654 6.424
angles (deg): 90.00 114.65 90.00
Element x y z (fractional)
Ba 0.000 0.000 0.000
Ba 0.500 0.500 0.000
Cr 0.190 0.000 0.568
Cr 0.690 0.500 0.568
Au 0.036 0.500 0.608
Au 0.305 0.500 0.413
Au 0.536 0.000 0.608
Au 0.805 0.000 0.413

Properties
**Space-group type**: Cm

version a has the most favorable energy; the next structure is 7.5 kJ/mol of atoms above.

Version a
An optimized crystal structure of BaCrAu, computed with PBE-GGA.

a b c (Å): 3.810 3.810 11.481
angles (deg): 90.00 90.00 90.00
Element x y z (fractional)
Ba 0.000 0.000 0.000
Ba 0.500 0.500 0.500
Cr 0.000 0.000 0.717
Cr 0.500 0.500 0.217
Au 0.000 0.000 0.297
Au 0.500 0.500 0.797

Properties
**Space-group type**: I4mm

Version b
An optimized crystal structure of BaCrAu, computed with PBE-GGA.

a b c (Å): 7.636 7.636 7.636
angles (deg): 90.00 90.00 90.00
Element x y z (fractional)
Ba 0.000 0.000 0.000
Ba 0.000 0.500 0.500
Ba 0.500 0.000 0.500
Ba 0.500 0.500 0.000
Cr 0.250 0.250 0.250
Cr 0.250 0.750 0.750
Cr 0.750 0.250 0.750
Cr 0.750 0.750 0.250
Au 0.250 0.250 0.750
Au 0.250 0.750 0.250
Au 0.750 0.250 0.250
Au 0.750 0.750 0.750

Properties
**Space-group type**: F-43m

Version c
An optimized crystal structure of BaCrAu, computed with PBE-GGA.

a b c (Å): 4.757 4.757 4.646
angles (deg): 90.00 90.00 120.00
Element x y z (fractional)
Ba 0.000 0.000 0.000
Cr 0.333 0.667 0.500
Au 0.667 0.333 0.500

Properties
**Space-group type**: P-6m2

version c has the most favorable energy; the next structure is 11.8 kJ/mol of atoms above.

Version a
An optimized crystal structure of BaCr2Au, computed with PBE-GGA.

a b c (Å): 4.606 4.606 9.318
angles (deg): 90.00 90.00 90.00
Element x y z (fractional)
Ba 0.000 0.000 0.000
Ba 0.500 0.500 0.500
Cr 0.000 0.000 0.500
Cr 0.000 0.500 0.750
Cr 0.500 0.000 0.250
Cr 0.500 0.500 0.000
Au 0.000 0.500 0.250
Au 0.500 0.000 0.750

Properties
**Space-group type**: I-4m2

Version b
An optimized crystal structure of BaCr2Au, computed with PBE-GGA.

a b c (Å): 4.688 4.688 19.463
angles (deg): 90.00 90.00 90.00
Element x y z (fractional)
Ba 0.000 0.250 0.375
Ba 0.000 0.750 0.625
Ba 0.500 0.250 0.125
Ba 0.500 0.750 0.875
Cr 0.000 0.000 0.000
Cr 0.000 0.500 0.000
Cr 0.250 0.250 0.750
Cr 0.250 0.750 0.250
Cr 0.500 0.000 0.500
Cr 0.500 0.500 0.500
Cr 0.750 0.250 0.750
Cr 0.750 0.750 0.250
Au 0.000 0.250 0.875
Au 0.000 0.750 0.125
Au 0.500 0.250 0.625
Au 0.500 0.750 0.375

Properties
**Space-group type**: I4_1/amd

Version c
An optimized crystal structure of BaCr2Au, computed with PBE-GGA.

a b c (Å): 4.634 4.634 17.461
angles (deg): 90.00 90.00 120.00
Element x y z (fractional)
Ba 0.000 0.000 0.000
Ba 0.333 0.667 0.667
Ba 0.667 0.333 0.333
Cr 0.000 0.000 0.192
Cr 0.000 0.000 0.808
Cr 0.333 0.667 0.475
Cr 0.333 0.667 0.859
Cr 0.667 0.333 0.141
Cr 0.667 0.333 0.525
Au 0.000 0.000 0.500
Au 0.333 0.667 0.167
Au 0.667 0.333 0.833

Properties
**Space-group type**: R-3m

Version d
An optimized crystal structure of BaCr2Au, computed with PBE-GGA.

a b c (Å): 3.377 3.377 7.814
angles (deg): 90.00 90.00 90.00
Element x y z (fractional)
Ba 0.000 0.000 0.000
Cr 0.000 0.000 0.477
Cr 0.500 0.500 0.345
Au 0.500 0.500 0.694

Properties
**Space-group type**: P4mm

version d has the most favorable energy; the next structure is 9.0 kJ/mol of atoms above.

Version a
An optimized crystal structure of BaCr2Au, computed with PBE-GGA.

a b c (Å): 3.534 3.534 7.877
angles (deg): 90.00 90.00 90.00
Element x y z (fractional)
Ba 0.000 0.000 0.000
Cr 0.500 0.500 0.323
Cr 0.500 0.500 0.677
Au 0.000 0.000 0.500

Properties
**Space-group type**: P4/mmm

Version b
An optimized crystal structure of BaCr2Au, computed with PBE-GGA.

a b c (Å): 6.294 10.715 3.749
angles (deg): 90.00 124.53 90.00
Element x y z (fractional)
Ba 0.000 0.000 0.000
Ba 0.500 0.500 0.000
Cr 0.250 0.250 0.500
Cr 0.250 0.750 0.500
Cr 0.750 0.250 0.500
Cr 0.750 0.750 0.500
Au 0.000 0.500 0.000
Au 0.500 0.000 0.000

Properties
**Space-group type**: C2/m

Version c
An optimized crystal structure of BaCr2Au, computed with PBE-GGA.

a b c (Å): 4.592 4.592 4.669
angles (deg): 90.00 90.00 90.00
Element x y z (fractional)
Ba 0.000 0.000 0.000
Cr 0.000 0.500 0.500
Cr 0.500 0.000 0.500
Au 0.500 0.500 0.000

Properties
**Space-group type**: P4/mmm

Version d
An optimized crystal structure of BaCr2Au, computed with PBE-GGA.

a b c (Å): 9.733 3.224 6.005
angles (deg): 90.00 102.44 90.00
Element x y z (fractional)
Ba 0.000 0.000 0.000
Ba 0.500 0.500 0.000
Cr 0.226 0.000 0.602
Cr 0.274 0.500 0.398
Cr 0.726 0.500 0.602
Cr 0.774 0.000 0.398
Au 0.000 0.500 0.500
Au 0.500 0.000 0.500

Properties
**Space-group type**: C2/m

version d has the most favorable energy; the next structure is 3.8 kJ/mol of atoms above.

Version a
An optimized crystal structure of BaCr2Au, computed with PBE-GGA.

a b c (Å): 3.585 5.530 10.530
angles (deg): 90.00 90.00 90.00
Element x y z (fractional)
Ba 0.000 0.000 0.000
Ba 0.500 0.500 0.500
Cr 0.000 0.500 0.207
Cr 0.000 0.500 0.793
Cr 0.500 0.000 0.293
Cr 0.500 0.000 0.707
Au 0.000 0.000 0.500
Au 0.500 0.500 0.000

Properties
**Space-group type**: Immm

Version b
An optimized crystal structure of BaCr2Au, computed with PBE-GGA.

a b c (Å): 4.163 5.160 5.170
angles (deg): 90.00 97.02 90.00
Element x y z (fractional)
Ba 0.000 0.000 0.000
Cr 0.343 0.500 0.600
Cr 0.657 0.500 0.400
Au 0.500 0.000 0.500

Properties
**Space-group type**: P2/m

Version c
An optimized crystal structure of BaCr2Au, computed with PBE-GGA.

a b c (Å): 8.218 4.745 6.423
angles (deg): 90.00 115.16 90.00
Element x y z (fractional)
Ba 0.000 0.000 0.000
Ba 0.500 0.500 0.000
Cr 0.010 0.500 0.530
Cr 0.312 0.500 0.435
Cr 0.510 0.000 0.530
Cr 0.812 0.000 0.435
Au 0.189 0.000 0.568
Au 0.689 0.500 0.568

Properties
**Space-group type**: Cm

version c has the most favorable energy; the next structure is 19.4 kJ/mol of atoms above.